(1)
## YHf3F (SCAN)

Data for a crystal of YHf3F relaxed with PBEsol.

Geometry as POSCAR:
```
YHf3F
1.0
-1.893 -0.424 4.196
-2.415 -3.662 -1.460
3.458 -2.789 1.278
Hf Y F
3 1 1
Direct
0.500 0.000 0.000
0.000 0.500 0.000
0.000 0.000 0.500
0.500 0.500 0.500
0.000 0.000 0.000
```

Values from the calculation:
Formation energy from raw total energies: -2.50 eV/f.u.
Space group: Pm-3m (221)
Energy: -44.38 eV/atom



(2)
## NiRu2Rh (SCAN)

Data for a crystal of NiRu2Rh relaxed with PBEsol.

Geometry as POSCAR:
```
NiRu2Rh
1.0
-1.205 0.046 2.352
-2.156 -1.080 -1.083
2.590 -6.632 1.456
Ru Ni Rh
2 1 1
Direct
0.000 0.000 0.002
0.500 0.500 0.257
0.000 0.000 0.498
0.500 0.500 0.743
```

Values from the calculation:
Distance to the lowest polymorph of the same formula: 20 meV per atom
Space group: P4mm (99)
Energy: -29.79 eV/atom



(3)
## NaLa2GeSb (SCAN)

Data for a crystal of NaLa2GeSb relaxed with PBEsol.

Geometry as POSCAR:
```
NaLa2GeSb
1.0
5.079 0.000 0.000
0.000 5.670 0.000
0.000 0.000 5.670
Sb La Na Ge
1 2 1 1
Direct
0.500 0.500 0.500
0.000 0.000 0.500
0.000 0.500 0.000
0.500 0.000 0.000
0.000 0.000 0.000
```

Values from the calculation:
Formation energy from raw total energies: -2.76 eV/f.u.
Space group: P4/mmm (123)
Energy: -29.91 eV/atom



(4)
## AlS2N2 (SCAN)

Data for a crystal of AlS2N2 relaxed with PBEsol.

Geometry as POSCAR:
```
AlS2N2
1.0
-0.647 -3.173 0.926
1.587 -1.126 -2.749
5.327 -0.168 3.144
S Al N
2 1 2
Direct
0.000 0.000 0.000
0.000 0.000 0.500
0.500 0.500 0.500
0.500 0.000 0.000
0.000 0.500 0.000
```

Values from the calculation:
Distance to the lowest polymorph of the same formula: 154 meV per atom
Formation energy from raw total energies: 5.42 eV/f.u.
Space group: P4/mmm (123)
Energy: -8.03 eV/atom



(5)
## HoCoSn (SCAN)

Data for a crystal of HoCoSn relaxed with PBEsol.

Geometry as POSCAR:
```
HoCoSn
1.0
4.508 0.000 0.000
0.000 7.161 0.000
0.000 0.000 7.117
Co Sn Ho
4 4 4
Direct
0.750 0.847 0.442
0.250 0.153 0.558
0.750 0.347 0.058
0.250 0.653 0.942
0.250 0.798 0.610
0.250 0.298 0.890
0.750 0.702 0.110
0.750 0.202 0.390
0.250 0.975 0.198
0.750 0.025 0.802
0.250 0.475 0.302
0.750 0.525 0.698
```

Values from the calculation:
Space group: Pnma (62)
Energy: -34.59 eV/atom



(6)
## LiWAu2 (SCAN)

Data for a crystal of LiWAu2 relaxed with PBEsol.

Geometry as POSCAR:
```
LiWAu2
1.0
2.703 -0.016 0.000
-0.939 2.535 0.000
0.000 0.000 9.390
Au W Li
2 1 1
Direct
0.500 0.500 0.737
0.000 0.000 0.004
0.500 0.500 0.252
0.000 0.000 0.508
```

Values from the calculation:
Space group: Cmm2 (35)
Energy: -52.41 eV/atom



(7)
## LaFe2Sb (SCAN)

Data for a crystal of LaFe2Sb relaxed with PBEsol.

Geometry as POSCAR:
```
LaFe2Sb
1.0
-1.787 0.941 2.519
-3.289 -1.558 -3.767
2.581 -4.327 1.432
La Fe Sb
1 2 1
Direct
0.500 0.000 0.000
0.000 0.500 0.000
0.000 0.000 0.500
0.500 0.500 0.500
```

Values from the calculation:
Formation energy from raw total energies: 1.68 eV/f.u.
Space group: C2/m (12)
Energy: -28.74 eV/atom



(8)
## Ba2IrBr (SCAN)

Data for a crystal of Ba2IrBr relaxed with PBEsol.

Geometry as POSCAR:
```
Ba2IrBr
1.0
-3.711 0.708 -2.444
0.110 -0.538 -4.466
-3.191 -7.435 -1.451
Br Ir Ba
1 1 2
Direct
0.000 0.000 0.000
0.500 0.500 0.500
0.763 0.763 0.710
0.237 0.237 0.290
```

Values from the calculation:
Distance to the lowest polymorph of the same formula: 0 meV per atom
Formation energy from raw total energies: -3.98 eV/f.u.
Space group: R-3m (166)
Energy: -43.41 eV/atom



(9)
## Ba2TeCl (SCAN)

Data for a crystal of Ba2TeCl relaxed with PBEsol.

Geometry as POSCAR:
```
Ba2TeCl
1.0
4.751 0.000 0.000
2.376 4.115 0.000
2.376 1.372 7.385
Ba Te Cl
2 1 1
Direct
0.254 0.254 0.237
0.746 0.746 0.763
0.500 0.500 0.500
0.000 0.000 0.000
```

Values from the calculation:
Distance to the lowest polymorph of the same formula: 0 meV per atom
Formation energy from raw total energies: -8.01 eV/f.u.
Space group: R-3m (166)
Energy: -33.08 eV/atom



(10)
## Os2Ru (SCAN)

Data for a crystal of Os2Ru relaxed with PBEsol.

Geometry as POSCAR:
```
Os2Ru
1.0
3.328 0.000 0.000
-1.664 2.882 0.000
0.000 0.000 5.031
Ru Os
1 2
Direct
0.000 0.000 0.000
0.333 0.667 0.643
0.667 0.333 0.357
```

Values from the calculation:
Distance to the lowest polymorph of the same formula: 1418 meV per atom
Space group: P-3m1 (164)
Energy: -58.13 eV/atom



(11)
## YTe (SCAN)

Data for a crystal of YTe relaxed with PBEsol.

Geometry as POSCAR:
```
YTe
1.0
-0.959 2.788 2.705
-3.679 0.327 -1.641
0.657 -2.658 2.973
Te Y
1 1
Direct
0.500 0.667 0.333
0.000 0.000 0.000
```

Values from the calculation:
Formation energy from raw total energies: -2.99 eV/f.u.
Space group: P-6m2 (187)
Energy: -34.04 eV/atom



(12)
## Tc3Se4I (SCAN)

Data for a crystal of Tc3Se4I relaxed with PBEsol.

Geometry as POSCAR:
```
Tc3Se4I
1.0
-3.874 0.927 -5.172
-2.107 -10.177 2.228
-8.805 3.400 7.204
Se Tc I
16 12 4
Direct
0.534 0.243 0.602
0.733 0.959 0.212
0.931 0.657 0.435
0.233 0.459 0.288
0.701 0.343 0.332
0.201 0.843 0.168
0.299 0.657 0.668
0.466 0.757 0.398
0.034 0.743 0.898
0.069 0.343 0.565
0.431 0.157 0.065
0.569 0.843 0.935
0.267 0.041 0.788
0.966 0.257 0.102
0.767 0.541 0.712
0.799 0.157 0.832
0.587 0.552 0.356
0.744 0.442 0.522
0.244 0.942 0.978
0.756 0.058 0.022
0.413 0.448 0.644
0.879 0.843 0.059
0.379 0.343 0.441
0.913 0.948 0.856
0.121 0.157 0.941
0.256 0.558 0.478
0.087 0.052 0.144
0.621 0.657 0.559
0.708 0.600 0.134
0.292 0.400 0.866
0.208 0.100 0.366
0.792 0.900 0.634
```

Values from the calculation:
Formation energy from raw total energies: -4.77 eV/f.u.
Space group: P2_1/c (14)
Energy: -28.38 eV/atom



(13)
## Be15Nb6Cu8 (SCAN)

Data for a crystal of Be15Nb6Cu8 relaxed with PBEsol.

Geometry as POSCAR:
```
Be15Nb6Cu8
1.0
-1.532 -6.963 2.633
2.833 -2.243 6.686
-4.609 -0.872 5.980
Be Nb Cu
15 6 8
Direct
0.500 0.000 0.000
0.673 0.673 0.673
0.327 0.327 0.020
0.000 0.000 0.000
0.327 0.327 0.327
0.673 0.673 0.980
0.000 0.000 0.500
0.500 0.500 0.000
0.673 0.980 0.673
0.500 0.000 0.500
0.980 0.673 0.673
0.000 0.500 0.000
0.020 0.327 0.327
0.000 0.500 0.500
0.327 0.020 0.327
0.693 0.693 0.307
0.693 0.307 0.307
0.307 0.693 0.307
0.693 0.307 0.693
0.307 0.307 0.693
0.307 0.693 0.693
0.877 0.369 0.877
0.369 0.877 0.877
0.123 0.631 0.123
0.123 0.123 0.631
0.877 0.877 0.877
0.877 0.877 0.369
0.123 0.123 0.123
0.631 0.123 0.123
```

Values from the calculation:
Space group: Fm-3m (225)
Energy: -13.55 eV/atom